# NdHoNi2 (PBE, optimized geometry)
# **Offset from the most stable computed form**: 0 meV/atom
# **Calculated formation energy**: -0.39 eV/atom
data_NdHoNi2
_chemical_formula_sum 'Nd2 Ho2 Ni4'
_symmetry_space_group_name_H-M 'A m m 2'
_symmetry_Int_Tables_number 38
_symmetry_space_group_name_Hall 'A 2 -2'
_cell_length_a 4.261
_cell_length_b 3.790
_cell_length_c 10.320
_cell_angle_alpha 90.00
_cell_angle_beta 90.00
_cell_angle_gamma 90.00
loop_
_atom_site_label
_atom_site_type_symbol
_atom_site_fract_x
_atom_site_fract_y
_atom_site_fract_z
_atom_site_occupancy
Nd1 Nd 0.000 0.000 0.000 1
Ho1 Ho 0.500 0.000 0.723 1
Ni1 Ni 0.000 0.000 0.284 1
Ni2 Ni 0.500 0.000 0.427 1

# Ce3PrTh12 (PBE, optimized geometry)
# **Calculated formation energy**: 0.03 eV/atom
data_Ce3PrTh12
_chemical_formula_sum 'Ce3 Pr1 Th12'
_symmetry_space_group_name_H-M 'P 4/m m m'
_symmetry_Int_Tables_number 123
_symmetry_space_group_name_Hall '-P 4 2'
_cell_length_a 4.995
_cell_length_b 4.995
_cell_length_c 20.084
_cell_angle_alpha 90.00
_cell_angle_beta 90.00
_cell_angle_gamma 90.00
loop_
_atom_site_label
_atom_site_type_symbol
_atom_site_fract_x
_atom_site_fract_y
_atom_site_fract_z
_atom_site_occupancy
Ce1 Ce 0.000 0.000 0.000 1
Ce2 Ce 0.000 0.000 0.247 1
Pr1 Pr 0.000 0.000 0.500 1
Th1 Th 0.000 0.500 0.123 1
Th2 Th 0.000 0.500 0.370 1
Th3 Th 0.500 0.500 0.000 1
Th4 Th 0.500 0.500 0.246 1
Th5 Th 0.500 0.500 0.500 1

# RbPuBeTe3 (PBE, optimized geometry)
# **Formation energy (no corrections)**: -0.810 eV per atom
data_RbPuBeTe3
_chemical_formula_sum 'Rb2 Pu2 Be2 Te6'
_symmetry_space_group_name_H-M 'P 1 21/m 1'
_symmetry_Int_Tables_number 11
_symmetry_space_group_name_Hall '-P 2yb'
_cell_length_a 10.265
_cell_length_b 4.329
_cell_length_c 10.433
_cell_angle_alpha 90.00
_cell_angle_beta 110.00
_cell_angle_gamma 90.00
loop_
_atom_site_label
_atom_site_type_symbol
_atom_site_fract_x
_atom_site_fract_y
_atom_site_fract_z
_atom_site_occupancy
Rb1 Rb 0.211 0.250 0.239 1
Pu1 Pu 0.326 0.750 0.854 1
Be1 Be 0.081 0.250 0.606 1
Te1 Te 0.106 0.250 0.848 1
Te2 Te 0.174 0.750 0.530 1
Te3 Te 0.468 0.750 0.169 1

# PmMnFeP2 (PBE, optimized geometry)
# **Calculated formation energy**: -0.95 eV/atom
data_PmMnFeP2
_chemical_formula_sum 'Pm2 Mn2 Fe2 P4'
_symmetry_space_group_name_H-M 'I -4 m 2'
_symmetry_Int_Tables_number 119
_symmetry_space_group_name_Hall 'I -4 -2'
_cell_length_a 3.895
_cell_length_b 3.895
_cell_length_c 9.823
_cell_angle_alpha 90.00
_cell_angle_beta 90.00
_cell_angle_gamma 90.00
loop_
_atom_site_label
_atom_site_type_symbol
_atom_site_fract_x
_atom_site_fract_y
_atom_site_fract_z
_atom_site_occupancy
Pm1 Pm 0.000 0.000 0.000 1
Mn1 Mn 0.000 0.500 0.750 1
Fe1 Fe 0.000 0.500 0.250 1
P1 P 0.000 0.000 0.358 1